The following is a DFT calculation (PBE-GGA) of a geometry-optimized SrOs2Pt structure.

Calculated values
Crystal system: trigonal
Formation enthalpy at 0 K, eV per atom: 0.88

Cell: 10.188 10.188 10.188 Å, 15.90 15.90 15.90°
Fractional positions:
1 Sr 0.000 0.000 0.000
2 Os 0.241 0.241 0.241
3 Os 0.759 0.759 0.759
4 Pt 0.500 0.500 0.500